[1]
{"formula": "KCuHg", "functional": "PBE", "state": "optimized geometry", "delta_e_f_ev_per_atom": 0.06, "polymorph_energy_mev_per_atom": 56, "cell": [[4.607, 0.000, 0.000], [-2.304, 3.990, 0.000], [0.000, 0.000, 4.871]], "species": ["Cu", "Hg", "K"], "fractional_positions": [[0.000, 0.000, 0.167], [0.667, 0.333, 0.166], [0.333, 0.667, 0.667]]}


[2]
{"formula": "KCuHg3", "functional": "PBE", "state": "optimized geometry", "delta_e_f_ev_per_atom": 0.58, "polymorph_energy_mev_per_atom": 677, "cell": [[-1.940, 1.151, 6.077], [-0.192, -6.377, 1.147], [6.182, 0.163, 1.942]], "species": ["Hg", "Hg", "Hg", "Cu", "K"], "fractional_positions": [[0.000, 0.500, 0.000], [0.500, 0.000, 0.000], [0.000, 0.000, 0.500], [0.500, 0.500, 0.500], [0.000, 0.000, 0.000]]}


[3]
{"formula": "KCu2Hg", "functional": "PBE", "state": "optimized geometry", "delta_e_f_ev_per_atom": 0.50, "cell": [[-3.733, -1.234, -2.099], [2.517, -1.082, -3.840], [0.491, -3.908, 1.423]], "species": ["K", "Cu", "Cu", "Hg"], "fractional_positions": [[0.000, 0.500, 0.500], [0.000, 0.000, 0.000], [0.500, 0.500, 0.000], [0.500, 0.000, 0.500]]}


[4]
{"formula": "KCu2Hg", "functional": "PBE", "state": "optimized geometry", "delta_e_f_ev_per_atom": 0.34, "cell": [[-2.504, 2.155, 1.200], [-2.428, -2.452, -0.664], [0.911, -2.757, 6.851]], "species": ["K", "Hg", "Cu", "Cu"], "fractional_positions": [[0.500, 0.500, 0.750], [0.500, 0.500, 0.250], [0.000, 0.000, 0.416], [0.000, 0.000, 0.084]]}


[5]
{"formula": "K2CuHg2", "functional": "PBE", "state": "optimized geometry", "delta_e_f_ev_per_atom": 0.00, "polymorph_energy_mev_per_atom": 0, "cell": [[7.374, 0.000, 0.000], [0.000, 7.374, 0.000], [0.000, 0.000, 5.693]], "species": ["Hg", "Hg", "Hg", "Hg", "K", "K", "K", "K", "Cu", "Cu"], "fractional_positions": [[0.652, 0.152, 0.000], [0.848, 0.652, 0.000], [0.152, 0.348, 0.000], [0.348, 0.848, 0.000], [0.175, 0.675, 0.500], [0.825, 0.325, 0.500], [0.675, 0.825, 0.500], [0.325, 0.175, 0.500], [0.500, 0.500, 0.000], [0.000, 0.000, 0.000]]}


[6]
{"formula": "KCu2Hg", "functional": "PBE", "state": "optimized geometry", "delta_e_f_ev_per_atom": 0.21, "cell": [[-0.560, -1.838, -4.538], [-4.136, -2.266, 1.428], [-7.238, 5.362, -3.954]], "species": ["Hg", "Hg", "Cu", "Cu", "Cu", "Cu", "K", "K"], "fractional_positions": [[0.750, 0.250, 0.500], [0.000, 0.000, 0.000], [0.375, 0.125, 0.750], [0.875, 0.125, 0.750], [0.875, 0.625, 0.250], [0.875, 0.125, 0.250], [0.250, 0.750, 0.500], [0.500, 0.500, 0.000]]}


[7]
{"formula": "KCuHg", "functional": "PBE", "state": "optimized geometry", "delta_e_f_ev_per_atom": 0.10, "polymorph_energy_mev_per_atom": 101, "cell": [[-1.262, 6.280, 1.338], [-2.203, 3.039, 5.360], [4.200, -4.345, -2.510]], "species": ["Cu", "Hg", "K"], "fractional_positions": [[0.940, 0.940, 0.000], [0.391, 0.391, 0.000], [0.669, 0.669, 0.000]]}


[8]
{"formula": "KCu2Hg", "functional": "PBE", "state": "optimized geometry", "delta_e_f_ev_per_atom": 0.50, "cell": [[5.069, 0.107, 0.000], [-0.108, 5.069, 0.000], [0.000, 0.000, 3.227]], "species": ["Hg", "Cu", "Cu", "K"], "fractional_positions": [[0.500, 0.000, 0.500], [0.500, 0.500, 0.000], [0.000, 0.000, 0.000], [0.000, 0.500, 0.500]]}


[9]
{"formula": "KCu2Hg", "functional": "PBE", "state": "optimized geometry", "delta_e_f_ev_per_atom": 0.33, "cell": [[2.928, 0.000, 0.000], [0.000, 4.205, 0.000], [0.000, 0.000, 7.196]], "species": ["K", "Cu", "Cu", "Hg"], "fractional_positions": [[0.500, 0.500, 0.750], [0.000, 0.000, 0.079], [0.000, 0.000, 0.421], [0.500, 0.500, 0.250]]}


[10]
{"formula": "KCu2Hg", "functional": "PBE", "state": "optimized geometry", "delta_e_f_ev_per_atom": 0.53, "cell": [[5.890, 0.022, 0.038], [-2.267, 5.436, 0.038], [0.624, 0.940, 2.687]], "species": ["Hg", "K", "Cu", "Cu"], "fractional_positions": [[0.500, 0.000, 0.500], [0.000, 0.500, 0.500], [0.500, 0.500, 0.000], [0.000, 0.000, 0.000]]}


[11]
{"formula": "KCu2Hg", "functional": "PBE", "state": "optimized geometry", "delta_e_f_ev_per_atom": 0.10, "cell": [[4.483, -0.042, 0.203], [2.230, 3.890, 0.203], [2.112, 1.211, 6.097]], "species": ["Cu", "Cu", "Hg", "K"], "fractional_positions": [[0.068, 0.068, 0.793], [0.743, 0.743, 0.772], [0.438, 0.438, 0.688], [0.251, 0.251, 0.247]]}


[12]
{"formula": "KCu2Hg", "functional": "PBE", "state": "optimized geometry", "delta_e_f_ev_per_atom": 0.19, "cell": [[-2.566, -2.080, 0.818], [1.831, -2.671, -1.045], [2.937, -0.797, 7.186]], "species": ["Cu", "Cu", "K", "Hg"], "fractional_positions": [[0.500, 0.500, 0.181], [0.000, 0.000, 0.103], [0.500, 0.500, 0.773], [0.000, 0.000, 0.443]]}


[13]
{"formula": "KCu2Hg", "functional": "PBE", "state": "optimized geometry", "delta_e_f_ev_per_atom": 0.36, "cell": [[-4.463, -1.834, -2.026], [2.600, -1.004, -4.429], [0.977, -2.021, 4.727]], "species": ["Cu", "Cu", "K", "Hg"], "fractional_positions": [[0.920, 0.920, 0.000], [0.580, 0.580, 0.000], [0.250, 0.750, 0.500], [0.750, 0.250, 0.500]]}


[14]
{"formula": "KCu2Hg", "functional": "PBE", "state": "optimized geometry", "delta_e_f_ev_per_atom": 0.47, "cell": [[5.300, -0.019, 0.000], [1.380, 5.117, 0.000], [-3.340, -2.549, 3.231]], "species": ["K", "Cu", "Cu", "Hg"], "fractional_positions": [[0.750, 0.250, 0.500], [0.000, 0.000, 0.000], [0.250, 0.750, 0.500], [0.500, 0.500, 0.000]]}


[15]
{"formula": "KCuHg4", "functional": "PBE", "state": "optimized geometry", "delta_e_f_ev_per_atom": 0.13, "cell": [[0.000, 4.417, 4.417], [4.417, 0.000, 4.417], [4.417, 4.417, 0.000]], "species": ["K", "Hg", "Hg", "Hg", "Hg", "Cu"], "fractional_positions": [[0.750, 0.750, 0.750], [0.374, 0.877, 0.374], [0.374, 0.374, 0.877], [0.374, 0.374, 0.374], [0.877, 0.374, 0.374], [0.000, 0.000, 0.000]]}


[16]
{"formula": "KCuHg", "functional": "PBE", "state": "optimized geometry", "delta_e_f_ev_per_atom": 0.00, "polymorph_energy_mev_per_atom": 0, "cell": [[-1.458, -1.721, 3.722], [5.954, -2.331, 1.265], [2.937, 3.442, 5.330]], "species": ["Hg", "Hg", "Cu", "Cu", "K", "K"], "fractional_positions": [[0.100, 0.712, 0.298], [0.900, 0.288, 0.702], [0.280, 0.092, 0.941], [0.720, 0.908, 0.059], [0.385, 0.709, 0.727], [0.615, 0.291, 0.273]]}


[17]
{"formula": "KCuHg3", "functional": "PBE", "state": "optimized geometry", "delta_e_f_ev_per_atom": -0.09, "polymorph_energy_mev_per_atom": 0, "cell": [[5.245, 0.000, 0.000], [0.000, 5.245, 0.000], [0.000, 0.000, 5.245]], "species": ["Cu", "Hg", "Hg", "Hg", "K"], "fractional_positions": [[0.000, 0.000, 0.000], [0.500, 0.000, 0.000], [0.000, 0.500, 0.000], [0.000, 0.000, 0.500], [0.500, 0.500, 0.500]]}


[18]
{"formula": "KCu2Hg", "functional": "PBE", "state": "optimized geometry", "delta_e_f_ev_per_atom": 0.30, "cell": [[6.127, -0.031, -0.070], [2.986, 5.350, 0.070], [-3.691, -4.142, 2.601]], "species": ["Hg", "K", "Cu", "Cu"], "fractional_positions": [[0.544, 0.544, 0.000], [0.244, 0.744, 0.500], [0.945, 0.945, 0.000], [0.766, 0.266, 0.500]]}


[19]
{"formula": "KCuHg", "functional": "PBE", "state": "optimized geometry", "delta_e_f_ev_per_atom": 0.21, "polymorph_energy_mev_per_atom": 206, "cell": [[5.055, 0.000, 0.000], [2.527, 4.378, 0.000], [2.527, 1.459, 4.127]], "species": ["Cu", "Hg", "K"], "fractional_positions": [[0.750, 0.750, 0.750], [0.000, 0.000, 0.000], [0.500, 0.500, 0.500]]}


[20]
{"formula": "KCu2Hg", "functional": "PBE", "state": "optimized geometry", "delta_e_f_ev_per_atom": 0.09, "cell": [[-4.006, 1.167, -1.824], [-3.832, -1.981, 1.459], [-2.965, 3.967, 3.962]], "species": ["K", "Cu", "Cu", "Hg"], "fractional_positions": [[0.250, 0.250, 0.250], [0.426, 0.426, 0.722], [0.074, 0.074, 0.778], [0.750, 0.750, 0.750]]}